Tl2InAg2: optimized geometry, GGA-PBE.

Lattice parameters (Å, degrees): 8.896 8.896 3.167 90.00 90.00 90.00
Element x y z (fractional)
Tl 0.364 0.864 0.000
Tl 0.864 0.636 0.000
Tl 0.636 0.136 0.000
Tl 0.136 0.364 0.000
Ag 0.163 0.663 0.500
Ag 0.663 0.837 0.500
Ag 0.837 0.337 0.500
Ag 0.337 0.163 0.500
In 0.000 0.000 0.000
In 0.500 0.500 0.000

Output
Energy relative to the elements = 3.87 kcal/mol of atoms
Energy above the lowest structure with this stoichiometry = 78 meV/atom
Volume = 25.07 Å³ per atom